# 1
A geometry-optimized MgIn2Cu2 structure, computed with PBE.

## Properties
DOS at the Fermi energy	3.88	states/eV per cell
total DFT energy (no corrections)	-0.114	Ha/atom
total moment	0.0000	μB per atom

a b c (Å): 4.4554 4.5166 9.4615
angles (deg): 90.00 90.00 90.00
Closest atoms and distances in Å follow each position.
Space group Pmmn (No. 59, origin choice 2)
Symmetry-distinct sites (fractional):
1 Mg 0.2500 0.2500 0.1721 (multiplicity 2)  6 Cu 2.71-2.80
2 In 0.2500 0.2500 0.4966 (multiplicity 2)  4 Cu 2.75-2.76, 1 Mg 3.07
3 In 0.2500 0.2500 0.8294 (multiplicity 2)  6 Cu 2.69-2.82
4 Cu 0.2500 0.7500 0.0072 (multiplicity 2)  4 In 2.71-2.82, 4 Mg 2.75-2.80
5 Cu 0.2500 0.7500 0.3308 (multiplicity 2)  6 In 2.69-2.76, 2 Mg 2.71

# 2
A geometry-optimized NaMg2InCu structure, computed with PBE.

## Properties
DOS at the Fermi energy	1.91	states/eV per cell
total DFT energy (no corrections)	-0.082	Ha/atom
total moment	0.0000	μB per atom

a b c (Å): 5.0250 5.0250 4.9618
angles (deg): 90.00 90.00 90.00
Closest atoms and distances in Å follow each position.
Space group P4/mmm (No. 123)
Symmetry-distinct sites (fractional):
1 Na 0.0000 0.0000 0.0000 (multiplicity 1)  8 Mg 3.53, 4 In 3.55
2 Mg 0.0000 0.5000 0.5000 (multiplicity 2)  2 Cu 2.51
3 In 0.5000 0.5000 0.0000 (multiplicity 1)  2 Cu 2.48
4 Cu 0.5000 0.5000 0.5000 (multiplicity 1)  2 In 2.48, 4 Mg 2.51